[1]
Computed, not measured: an optimized crystal structure of TaFeAgSn at the PBE level of DFT.

a b c (Å): 6.520 6.520 6.520
angles (deg): 90.00 90.00 90.00
Space group F-43m (No. 216)
Symmetry-distinct sites (fractional):
1 Ta 0.000 0.000 0.000
2 Fe 0.000 0.000 0.500
3 Ag 0.250 0.250 0.750
4 Sn 0.250 0.250 0.250

Total magnetization (μB per formula unit): 1.94
VASP energy (eV/atom): -6.301

---

[2]
Computed, not measured: an optimized crystal structure of TaFeAgSn at the PBE level of DFT.

a b c (Å): 6.421 6.421 6.421
angles (deg): 90.00 90.00 90.00
Space group F-43m (No. 216)
Symmetry-distinct sites (fractional):
1 Ta 0.000 0.000 0.000
2 Fe 0.250 0.250 0.750
3 Ag 0.250 0.250 0.250
4 Sn 0.000 0.000 0.500

Total magnetization (μB per formula unit): 0.03
VASP energy (eV/atom): -6.444

---

[3]
Computed, not measured: an optimized crystal structure of FeTcAgSn at the PBE level of DFT.

a b c (Å): 6.378 6.378 6.378
angles (deg): 90.00 90.00 90.00
Space group F-43m (No. 216)
Symmetry-distinct sites (fractional):
1 Fe 0.000 0.000 0.000
2 Tc 0.000 0.000 0.500
3 Ag 0.250 0.250 0.250
4 Sn 0.250 0.250 0.750

Total magnetization (μB per formula unit): 3.00
VASP energy (eV/atom): -5.971

---

[4]
Computed, not measured: an optimized crystal structure of FeAgSnTe3 at the PBE level of DFT.

a b c (Å): 3.716 17.089 10.019
angles (deg): 90.00 90.00 90.00
Space group Cmcm (No. 63)
Symmetry-distinct sites (fractional):
1 Fe 0.000 0.000 0.000
2 Ag 0.000 0.301 0.250
3 Sn 0.000 0.325 0.750
4 Te 0.000 0.032 0.250
5 Te 0.000 0.397 0.028

Total magnetization (μB per formula unit): 0.90
VASP energy (eV/atom): -4.112

---

[5]
Computed, not measured: an optimized crystal structure of FeAgSnW at the PBE level of DFT.

a b c (Å): 6.396 6.396 6.396
angles (deg): 90.00 90.00 90.00
Space group F-43m (No. 216)
Symmetry-distinct sites (fractional):
1 Fe 0.000 0.000 0.000
2 Ag 0.000 0.000 0.500
3 Sn 0.250 0.250 0.750
4 W 0.250 0.250 0.250

Total magnetization (μB per formula unit): 0.83
VASP energy (eV/atom): -6.361

---

[6]
Computed, not measured: an optimized crystal structure of YFeAgSn at the PBE level of DFT.

a b c (Å): 6.909 6.909 6.909
angles (deg): 90.00 90.00 90.00
Space group F-43m (No. 216)
Symmetry-distinct sites (fractional):
1 Y 0.000 0.000 0.000
2 Fe 0.000 0.000 0.500
3 Ag 0.250 0.250 0.750
4 Sn 0.250 0.250 0.250

Total magnetization (μB per formula unit): 2.61
VASP energy (eV/atom): -5.467

---

[7]
Computed, not measured: an optimized crystal structure of YFeAgSn at the PBE level of DFT.

a b c (Å): 6.739 6.739 6.739
angles (deg): 90.00 90.00 90.00
Space group F-43m (No. 216)
Symmetry-distinct sites (fractional):
1 Y 0.000 0.000 0.000
2 Fe 0.250 0.250 0.750
3 Ag 0.250 0.250 0.250
4 Sn 0.000 0.000 0.500

Total magnetization (μB per formula unit): 2.03
VASP energy (eV/atom): -5.480

---

[8]
Computed, not measured: an optimized crystal structure of ZrFeAgSn at the PBE level of DFT.

a b c (Å): 6.558 6.558 6.558
angles (deg): 90.00 90.00 90.00
Space group F-43m (No. 216)
Symmetry-distinct sites (fractional):
1 Zr 0.000 0.000 0.000
2 Fe 0.250 0.250 0.750
3 Ag 0.250 0.250 0.250
4 Sn 0.000 0.000 0.500

Total magnetization (μB per formula unit): 1.40
VASP energy (eV/atom): -5.957

---

[9]
Computed, not measured: an optimized crystal structure of ZrFeAgSn at the PBE level of DFT.

a b c (Å): 6.593 6.593 6.593
angles (deg): 90.00 90.00 90.00
Space group F-43m (No. 216)
Symmetry-distinct sites (fractional):
1 Zr 0.000 0.000 0.000
2 Fe 0.000 0.000 0.500
3 Ag 0.250 0.250 0.750
4 Sn 0.250 0.250 0.250

Total magnetization (μB per formula unit): 2.28
VASP energy (eV/atom): -5.855

---

[10]
Computed, not measured: an optimized crystal structure of SrFeAgTe3 at the PBE level of DFT.

a b c (Å): 13.594 4.164 10.747
angles (deg): 90.00 90.00 90.00
Space group Pnma (No. 62)
Symmetry-distinct sites (fractional):
1 Sr 0.224 0.250 0.070
2 Fe 0.008 0.250 0.342
3 Ag 0.012 0.750 0.090
4 Te 0.081 0.250 0.563
5 Te 0.119 0.750 0.851
6 Te 0.136 0.750 0.293

Total magnetization (μB per formula unit): 0.88
VASP energy (eV/atom): -4.152

---

[11]
Computed, not measured: an optimized crystal structure of SrFeAgTe3 at the PBE level of DFT.

a b c (Å): 7.827 4.300 9.963
angles (deg): 90.00 106.14 90.00
Space group P2_1/m (No. 11)
Symmetry-distinct sites (fractional):
1 Sr 0.226 0.250 0.275
2 Fe 0.315 0.750 0.836
3 Ag 0.081 0.250 0.598
4 Te 0.108 0.250 0.884
5 Te 0.299 0.750 0.553
6 Te 0.446 0.750 0.126

Total magnetization (μB per formula unit): 3.13
VASP energy (eV/atom): -4.165

---

[12]
Computed, not measured: an optimized crystal structure of SrFeAgTe3 at the PBE level of DFT.

a b c (Å): 4.237 14.111 10.866
angles (deg): 90.00 90.00 90.00
Space group Cmcm (No. 63)
Symmetry-distinct sites (fractional):
1 Sr 0.000 0.232 0.250
2 Fe 0.000 0.000 0.000
3 Ag 0.000 0.457 0.750
4 Te 0.000 0.082 0.750
5 Te 0.000 0.366 0.527

Total magnetization (μB per formula unit): 3.30
VASP energy (eV/atom): -4.103

---

What is the VASP energy in the tenth record? -4.152 eV/atom

---

total magnetization of number 4 (FeAgSnTe3)? 0.90 μB per formula unit